A plane-wave DFT calculation with SCAN was carried out for a PBEsol-optimized structure of Sc2NiP.

The structure belongs to space group R-3m (No. 166, hexagonal axes); the cell edges are 3.6636, 3.6636 and 18.3126 Å and the angles 90.00°, 90.00° and 120.00°. The asymmetric unit holds Sc at (0.0000, 0.0000, 0.2487), Ni at (0.0000, 0.0000, 0.0000) and P at (0.0000, 0.0000, 0.5000).

The formation energy is -0.790 eV/atom.